Material: KAl3Rh
Method: DFT, PBE-GGA
State: relaxed

Results
Symmetry   Pm-3m (221)
ΔE_f   -0.226 eV/atom
V   113 Å³/cell
Theoretical density   3.282 g/cm³
M_tot   0.744 μB per formula unit
D(E_F)   2.834 states/eV/cell

CIF file:
```
data_KAl3Rh
_chemical_formula_sum 'K1 Al3 Rh1'
_space_group_name_H-M_alt 'P 1'
_space_group_IT_number 1
_cell_length_a 4.832
_cell_length_b 4.832
_cell_length_c 4.832
_cell_angle_alpha 90.00
_cell_angle_beta 90.00
_cell_angle_gamma 90.00
loop_
_space_group_symop_operation_xyz
'x,y,z'
loop_
_atom_site_label
_atom_site_type_symbol
_atom_site_fract_x
_atom_site_fract_y
_atom_site_fract_z
K1 K 0.500 0.500 0.500
Rh1 Rh 0.000 0.000 0.000
Al1 Al 0.000 0.500 0.000
Al2 Al 0.000 0.000 0.500
Al3 Al 0.500 0.000 0.000
```

---

Material: KAlRh2
Method: DFT, PBE-GGA
State: relaxed

Results
Symmetry   P4/mmm (123)
ΔE_f   -0.136 eV/atom
V   73 Å³/cell
Theoretical density   6.208 g/cm³
M_tot   0.000 μB per formula unit
D(E_F)   5.594 states/eV/cell

CIF file:
```
data_KAlRh2
_chemical_formula_sum 'K1 Al1 Rh2'
_space_group_name_H-M_alt 'P 1'
_space_group_IT_number 1
_cell_length_a 2.986
_cell_length_b 2.985
_cell_length_c 8.687
_cell_angle_alpha 69.95
_cell_angle_beta 90.00
_cell_angle_gamma 90.00
loop_
_space_group_symop_operation_xyz
'x,y,z'
loop_
_atom_site_label
_atom_site_type_symbol
_atom_site_fract_x
_atom_site_fract_y
_atom_site_fract_z
K1 K 0.500 0.750 0.750
Rh1 Rh 0.000 0.929 0.071
Rh2 Rh 0.000 0.571 0.429
Al1 Al 0.500 0.250 0.250
```

---

- Which of these has the lowest D(E_F)?
  KAl3Rh